1.
# PBE LaHfF2, optimized geometry
data_LaHfF2
_cell_length_a 3.8118
_cell_length_b 3.8118
_cell_length_c 18.3153
_cell_angle_alpha 90.00
_cell_angle_beta 90.00
_cell_angle_gamma 120.00
_symmetry_space_group_name_H-M 'R -3 m'
_symmetry_Int_Tables_number 166
_symmetry_space_group_name_Hall '-R 3 2"'
loop_
_atom_site_label
_atom_site_type_symbol
_atom_site_fract_x
_atom_site_fract_y
_atom_site_fract_z
_atom_site_occupancy
La1 La 0.0000 0.0000 0.0000 1
Hf1 Hf 0.0000 0.0000 0.5000 1
F1 F 0.0000 0.0000 0.1394 1
# - Total magnetic moment: 1.44 Bohr magnetons per cell
# - ΔE to the lowest computed polymorph: 136 meV per atom
# - E: -6.61 eV/atom
# - ΔE_f (raw): -1.952 eV per atom

---

2.
# PBE CeSm4Hg7, optimized geometry
data_CeSm4Hg7
_cell_length_a 12.916
_cell_length_b 5.651
_cell_length_c 11.327
_cell_angle_alpha 90.00
_cell_angle_beta 123.26
_cell_angle_gamma 90.00
_symmetry_space_group_name_H-M 'C 1 2/m 1'
_symmetry_Int_Tables_number 12
_symmetry_space_group_name_Hall '-C 2y'
loop_
_atom_site_label
_atom_site_type_symbol
_atom_site_fract_x
_atom_site_fract_y
_atom_site_fract_z
_atom_site_occupancy
Ce1 Ce 0.000 0.000 0.000 1
Sm1 Sm 0.082 0.500 0.776 1
Sm2 Sm 0.241 0.500 0.329 1
Hg1 Hg 0.000 0.500 0.000 1
Hg2 Hg 0.073 0.000 0.333 1
Hg3 Hg 0.139 0.500 0.539 1
Hg4 Hg 0.209 0.000 0.912 1
# - Total magnetic moment: 2.40 Bohr magnetons per cell
# - E: -2.53 eV/atom
# - E_form: -0.289 eV per atom

---

3.
# PBE Y2SnPb2, optimized geometry
data_Y2SnPb2
_cell_length_a 8.169
_cell_length_b 8.169
_cell_length_c 4.385
_cell_angle_alpha 90.00
_cell_angle_beta 90.00
_cell_angle_gamma 90.00
_symmetry_space_group_name_H-M 'P 4/m b m'
_symmetry_Int_Tables_number 127
_symmetry_space_group_name_Hall '-P 4 2ab'
loop_
_atom_site_label
_atom_site_type_symbol
_atom_site_fract_x
_atom_site_fract_y
_atom_site_fract_z
_atom_site_occupancy
Y1 Y 0.173 0.327 0.000 1
Sn1 Sn 0.000 0.000 0.500 1
Pb1 Pb 0.132 0.632 0.500 1
# - Total magnetic moment: 0.00 Bohr magnetons per cell
# - ΔE to the lowest computed polymorph: 4 meV per atom
# - E: -5.26 eV/atom
# - E_form: -0.386 eV per atom

---

4.
# PBE KCCl2, optimized geometry
data_KCCl2
_cell_length_a 7.112
_cell_length_b 7.112
_cell_length_c 7.112
_cell_angle_alpha 90.00
_cell_angle_beta 90.00
_cell_angle_gamma 90.00
_symmetry_space_group_name_H-M 'F m -3 m'
_symmetry_Int_Tables_number 225
_symmetry_space_group_name_Hall '-F 4 2 3'
loop_
_atom_site_label
_atom_site_type_symbol
_atom_site_fract_x
_atom_site_fract_y
_atom_site_fract_z
_atom_site_occupancy
K1 K 0.000 0.000 0.000 1
C1 C 0.000 0.000 0.500 1
Cl1 Cl 0.250 0.250 0.250 1
# - Total magnetic moment: 4.00 Bohr magnetons per cell
# - ΔE to the lowest computed polymorph: 397 meV per atom
# - E: -2.67 eV/atom
# - ΔE_f (raw): 0.837 eV per atom